Entry from the Alexandria database: crystalline Ag2Hg2Pb at its relaxed geometry (PBE).

Summary:
SG ... P4/mbm
DFT formation energy ... 0.079 eV per atom
Energy relative to the lowest polymorph listed for this composition ... 0 meV per atom

Cell lengths 8.3796, 8.3796, 3.2614 Å; angles 90.00, 90.00, 90.00 degrees
Element x y z (fractional)
Pb  0.0000  0.0000  0.0000
Pb  0.5000  0.5000  0.0000
Hg  0.1734  0.6734  0.5000
Hg  0.6734  0.8266  0.5000
Hg  0.8266  0.3266  0.5000
Hg  0.3266  0.1734  0.5000
Ag  0.3771  0.8771  0.0000
Ag  0.8771  0.6229  0.0000
Ag  0.6229  0.1229  0.0000
Ag  0.1229  0.3771  0.0000

***

Entry from the Alexandria database: crystalline TaW3Cl at its relaxed geometry (PBE).

Summary:
SG ... Pm-3m
Formation energy from raw total energies ... 1.414 eV per atom
Energy relative to the lowest polymorph listed for this composition ... 0 meV per atom

Cell lengths 4.4116, 4.4116, 4.4116 Å; angles 90.00, 90.00, 90.00 degrees
Element x y z (fractional)
Cl  0.0000  0.0000  0.0000
W  0.0000  0.5000  0.0000
W  0.0000  0.0000  0.5000
W  0.5000  0.0000  0.0000
Ta  0.5000  0.5000  0.5000

***

Entry from the Alexandria database: crystalline Sr3Tl at its relaxed geometry (PBE).

Summary:
SG ... I4/mmm
DFT formation energy ... -0.139 eV per atom

Cell lengths 10.6365, 10.6365, 10.6365 Å; angles 148.59, 148.59, 45.02 degrees
Element x y z (fractional)
Sr  0.0000  0.5000  0.5000
Sr  0.5000  0.0000  0.5000
Sr  0.7500  0.2500  0.5000
Sr  0.2500  0.7500  0.5000
Sr  0.8748  0.8748  0.0000
Sr  0.1252  0.1252  0.0000
Tl  0.6344  0.6344  0.0000
Tl  0.3656  0.3656  0.0000

***

| no. | DFT total energy (Ha/atom) | size of the total moment (μB per formula unit) |
| --- | --- | --- |
| 1 | -0.0707 | 0.00 |
| 2 | -0.3343 | 0.00 |
| 3 | -0.0732 | 0.00 |